# PBE-GGA NaYSn6, relaxed
data_NaYSn6
_cell_length_a 4.6876
_cell_length_b 4.6876
_cell_length_c 9.5854
_cell_angle_alpha 90.00
_cell_angle_beta 90.00
_cell_angle_gamma 90.00
_symmetry_space_group_name_H-M 'P 4/m m m'
_symmetry_Int_Tables_number 123
_symmetry_space_group_name_Hall '-P 4 2'
loop_
_atom_site_label
_atom_site_type_symbol
_atom_site_fract_x
_atom_site_fract_y
_atom_site_fract_z
Na1 Na 0.0000 0.0000 0.0000
Y1 Y 0.0000 0.0000 0.5000
Sn1 Sn 0.0000 0.5000 0.2479
Sn2 Sn 0.5000 0.5000 0.0000
Sn3 Sn 0.5000 0.5000 0.5000
# - Calculated formation energy: -0.28 eV per atom
# - M_tot: 0.00 μB/atom